8
Lattice="6.423 0.000 0.000 3.211 5.477 0.000 3.211 0.000 5.477" Properties=species:S:1:pos:R:3 comment="K2CuGeS4 GGA-PBE relaxed" volume_a3_per_atom=24.09 spacegroup="I-42m, No. 121" e_tot_ev_per_atom=-4.0863 dos_at_fermi_per_ev_cell=6.571 pbc="T T T"
Cu 0.000 0.000 0.000
K 3.211 2.739 2.739
S 4.899 3.821 0.000
S 1.688 1.657 0.000
Ge 3.211 0.000 0.000
K 6.423 2.739 2.739
S 7.946 0.000 3.821
S 4.735 0.000 1.657

---

12
Lattice="-0.356 4.217 0.519 -1.805 -0.641 3.970 12.796 0.638 3.589" Properties=species:S:1:pos:R:3 comment="Sm3Ge7Pd2 GGA-PBE relaxed" volume_a3_per_atom=20.58 spacegroup="P2/m, No. 10" e_tot_ev_per_atom=-5.3880 formation_enthalpy_0k_ev_per_atom=-0.6492 dos_at_fermi_per_ev_cell=5.116 pbc="T T T"
Sm 6.628 -0.117 5.489
Ge 4.279 1.929 4.766
Ge 1.848 2.160 1.232
Sm -1.081 1.788 2.245
Ge 6.355 2.284 3.312
Ge 8.787 2.054 6.846
Ge 0.000 0.000 0.000
Ge 0.979 -0.315 3.231
Sm 4.362 0.113 2.070
Pd 2.079 1.877 3.682
Ge 10.011 0.312 4.328
Pd 8.556 2.336 4.396

---

4
Lattice="3.155 0.000 0.000 0.000 3.155 0.000 0.000 0.000 6.721" Properties=species:S:1:pos:R:3 comment="TaTi2Mo GGA-PBE relaxed" volume_a3_per_atom=16.73 spacegroup="P4/mmm, No. 123" e_tot_ev_per_atom=-9.6118 formation_enthalpy_0k_ev_per_atom=0.0066 dos_at_fermi_per_ev_cell=6.709 de_polymorph_mev_per_atom=99 pbc="T T T"
Ti 0.000 0.000 1.534
Ta 1.578 1.578 3.361
Mo 1.578 1.578 0.000
Ti 0.000 0.000 5.188

---

10
Lattice="5.040 0.000 0.000 -2.520 5.578 0.717 0.000 -1.443 11.151" Properties=species:S:1:pos:R:3 comment="LaHo2Tm2 GGA-PBE relaxed" volume_a3_per_atom=31.87 spacegroup="C2/m, No. 12" e_tot_ev_per_atom=-4.5692 formation_enthalpy_0k_ev_per_atom=0.0360 dos_at_fermi_per_ev_cell=14.964 de_polymorph_mev_per_atom=0 pbc="T T T"
Ho 0.000 4.801 2.297
Tm 2.520 4.082 7.877
Tm 0.000 0.053 3.991
Ho 2.520 -0.666 9.570
La 2.520 2.427 3.138
Ho 0.000 3.276 5.518
La 0.000 1.708 8.730
Ho 2.520 0.859 6.349
Tm 2.520 2.553 11.094
Tm 0.000 1.582 0.773

---

6
Lattice="-1.995 1.849 -3.823 2.348 -4.051 -0.305 -6.194 -3.699 1.444" Properties=species:S:1:pos:R:3 comment="SmDyZn2In2 GGA-PBE relaxed" volume_a3_per_atom=23.38 spacegroup="P-3m1, No. 164" e_tot_ev_per_atom=-3.3351 formation_enthalpy_0k_ev_per_atom=-0.4441 dos_at_fermi_per_ev_cell=3.238 pbc="T T T"
Dy -3.097 -1.849 0.722
Sm 0.000 0.000 0.000
In -3.697 -4.830 -0.406
In -2.144 -1.071 -2.279
Zn -5.058 -2.811 -1.599
Zn -0.783 -3.090 -1.086

---

5
Lattice="5.521 0.000 0.000 0.000 4.684 0.000 0.000 0.000 5.521" Properties=species:S:1:pos:R:3 comment="La2BeAgBi GGA-PBE relaxed" volume_a3_per_atom=28.56 spacegroup="P4/mmm, No. 123" e_tot_ev_per_atom=-4.0576 formation_enthalpy_0k_ev_per_atom=0.0050 dos_at_fermi_per_ev_cell=4.207 pbc="T T T"
La 2.761 0.000 0.000
Be 0.000 0.000 0.000
Ag 2.761 2.342 2.761
Bi 0.000 2.342 0.000
La 0.000 0.000 2.761

---

28
Lattice="-4.192 -2.761 0.448 2.197 -4.381 -6.431 4.925 -6.488 6.102" Properties=species:S:1:pos:R:3 comment="TbGaCu5 GGA-PBE relaxed" volume_a3_per_atom=14.81 spacegroup="Pnma, No. 62" e_tot_ev_per_atom=-4.2705 formation_enthalpy_0k_ev_per_atom=-0.2508 dos_at_fermi_per_ev_cell=14.826 pbc="T T T"
Cu 1.443 -7.474 -3.909
Cu -0.609 -8.826 -3.690
Cu 1.921 -5.246 -0.182
Cu -2.264 -5.903 -1.163
Cu 1.536 -4.231 2.474
Cu 0.332 -3.388 -3.595
Cu 1.479 -8.259 5.460
Cu 1.487 -6.155 4.029
Ga 0.022 -7.201 -1.645
Ga 2.908 -6.429 1.764
Tb 3.341 -7.574 -1.242
Cu -0.212 -4.551 -1.383
Cu 1.394 -9.398 -2.355
Tb 4.113 -7.848 4.291
Cu 1.699 -5.323 -2.725
Tb -1.183 -5.781 -4.172
Ga -2.112 -3.646 0.287
Cu 3.539 -4.804 3.809
Ga 5.042 -9.984 -0.168
Cu 5.194 -7.726 1.283
Cu 3.141 -9.078 1.502
Cu 1.231 -8.307 2.845
Cu 0.565 -3.085 0.446
Cu 2.365 -10.544 -0.327
Cu 1.009 -8.383 0.301
Cu 2.598 -10.242 3.714
Tb -0.411 -6.055 1.361
Cu 1.451 -5.371 -5.340

---

4
Lattice="-1.838 -2.671 1.249 1.452 -2.101 -2.356 6.462 -1.823 5.609" Properties=species:S:1:pos:R:3 comment="LaTcBr2 GGA-PBE relaxed" volume_a3_per_atom=26.41 spacegroup="P4mm, No. 99" e_tot_ev_per_atom=-4.9994 dos_at_fermi_per_ev_cell=3.164 de_polymorph_mev_per_atom=222 pbc="T T T"
Tc 4.833 -3.804 3.809
La 3.411 -0.962 2.961
Br 1.753 -2.935 1.136
Br 5.772 -1.629 5.010